## EuZnGe (PBE)

Data for a relaxed structure of EuZnGe.

Calculated values
- Space group: P6/mmm
- M_tot: 14.111 Bohr magnetons per cell
- VASP energy: -5.779 eV per atom

Unit cell a=4.497 b=4.497 c=8.050 alpha=90.00 beta=90.00 gamma=120.00
Fractional coordinates of all 6 atoms:
Eu1 0.000 0.000 0.246
Eu2 0.000 0.000 0.754
Zn1 0.333 0.667 0.000
Zn2 0.667 0.333 0.000
Ge1 0.333 0.667 0.500
Ge2 0.667 0.333 0.500

=====

## CaY3Bi2 (PBE)

Data for a relaxed structure of CaY3Bi2.

Calculated values
- Space group: C2/m
- M_tot: 1.384 Bohr magnetons per cell
- VASP energy: -5.373 eV per atom

Unit cell a=9.518 b=9.518 c=9.892 alpha=112.62 beta=112.62 gamma=27.66
Fractional coordinates of all 12 atoms:
Ca1 0.110 0.110 0.113
Ca2 0.890 0.890 0.887
Y1 0.059 0.059 0.679
Y2 0.309 0.309 0.109
Y3 0.356 0.356 0.516
Y4 0.644 0.644 0.484
Y5 0.691 0.691 0.891
Y6 0.941 0.941 0.321
Bi1 0.248 0.248 0.716
Bi2 0.495 0.495 0.167
Bi3 0.505 0.505 0.833
Bi4 0.752 0.752 0.284

=====

## EuDyLu2 (PBE)

Data for a relaxed structure of EuDyLu2.

Calculated values
- ΔE to the lowest computed polymorph: 0.000 eV per atom
- Space group: P4/mmm
- M_tot: 7.794 Bohr magnetons per cell

Unit cell a=3.562 b=3.562 c=10.163 alpha=90.00 beta=90.00 gamma=90.00
Fractional coordinates of all 4 atoms:
Eu1 0.000 0.000 0.000
Dy1 0.000 0.000 0.500
Lu1 0.500 0.500 0.266
Lu2 0.500 0.500 0.734

=====

## BaTl3Sb2 (PBE)

Data for a relaxed structure of BaTl3Sb2.

Calculated values
- Space group: C2/m
- Formation energy from raw total energies: -0.34 eV/atom
- M_tot: 0.000 Bohr magnetons per cell

Unit cell a=9.099 b=9.099 c=10.784 alpha=112.87 beta=112.87 gamma=32.17
Fractional coordinates of all 12 atoms:
Ba1 0.144 0.144 0.059
Ba2 0.856 0.856 0.941
Tl1 0.021 0.021 0.340
Tl2 0.294 0.294 0.606
Tl3 0.390 0.390 0.385
Tl4 0.610 0.610 0.615
Tl5 0.706 0.706 0.394
Tl6 0.979 0.979 0.660
Sb1 0.202 0.202 0.788
Sb2 0.485 0.485 0.857
Sb3 0.515 0.515 0.143
Sb4 0.798 0.798 0.212

=====

## PuZn4Cu8 (PBE)

Data for a relaxed structure of PuZn4Cu8.

Calculated values
- Space group: I4/mmm
- M_tot: 5.809 Bohr magnetons per cell
- VASP energy: -4.049 eV per atom

Unit cell a=6.600 b=6.600 c=6.600 alpha=98.05 beta=98.05 gamma=136.05
Fractional coordinates of all 13 atoms:
Pu1 0.000 0.000 0.000
Zn1 0.000 0.000 0.500
Zn2 0.000 0.500 0.000
Zn3 0.500 0.000 0.000
Zn4 0.500 0.500 0.500
Cu1 0.000 0.356 0.356
Cu2 0.000 0.644 0.644
Cu3 0.280 0.500 0.780
Cu4 0.356 0.000 0.356
Cu5 0.500 0.280 0.780
Cu6 0.500 0.720 0.220
Cu7 0.644 0.000 0.644
Cu8 0.720 0.500 0.220

=====

## BaTc3As (PBE)

Data for a relaxed structure of BaTc3As.

Calculated values
- ΔE to the lowest computed polymorph: 0.000 eV per atom
- Space group: Pm-3m
- M_tot: 2.827 Bohr magnetons per cell

Unit cell a=4.773 b=4.773 c=4.773 alpha=90.00 beta=90.00 gamma=90.00
Fractional coordinates of all 5 atoms:
Ba1 0.000 0.000 0.000
Tc1 0.000 0.500 0.500
Tc2 0.500 0.000 0.500
Tc3 0.500 0.500 0.000
As1 0.500 0.500 0.500

=====

Question: Look up the M_tot of the fourth one.
Answer: 0.000 Bohr magnetons per cell